Compound: GaMoIrRu
Source: Alexandria
Functional: PBE
Structure: optimized geometry

Geometry as POSCAR:
```
GaMoIrRu
1.0
4.383 0.000 0.000
2.192 3.796 0.000
2.192 1.265 3.579
Ir Ga Mo Ru
1 1 1 1
direct
0.500 0.500 0.500 Ir
0.250 0.250 0.250 Ga
0.750 0.750 0.750 Mo
0.000 0.000 0.000 Ru
```

Formation energy from the elements ... -0.038 eV per atom
SG ... F-43m, No. 216
Electronic total energy ... -8.037 eV/atom